VASP calculation (GGA-PBE) on an optimized crystal structure of Er5Tm4Pb2.

The value obtained for the size of the total moment is 0.0 μB per formula unit. The energy of formation is -0.0968 eV per atom. Its density of states at the Fermi level is 1.19 states/eV/atom.

abc: 6.083 6.082 16.165
angles: 95.64 92.04 33.51
Element x y z (fractional)
Er  0.272  0.181  0.409
Er  0.500  0.500  0.500
Er  0.144  0.611  0.966
Pb  0.982  0.160  0.678
Er  0.856  0.389  0.034
Er  0.728  0.819  0.591
Tm  0.479  0.829  0.851
Pb  0.018  0.840  0.322
Tm  0.239  0.501  0.762
Tm  0.761  0.499  0.238
Tm  0.521  0.171  0.149

VASP calculation (GGA-PBE) on an optimized crystal structure of ErTm4Pb3.

The value obtained for the size of the total moment is 0.7 μB per formula unit. The energy of formation is -0.4317 eV per atom. Its density of states at the Fermi level is 1.06 states/eV/atom.

abc: 6.305 9.026 9.026
angles: 82.99 69.56 69.56
Element x y z (fractional)
Tm  0.278  0.143  0.300
Tm  0.778  0.300  0.143
Tm  0.222  0.700  0.857
Pb  0.165  0.500  0.170
Pb  0.835  0.500  0.830
Pb  0.250  0.000  0.000
Pb  0.750  0.000  0.000
Tm  0.422  0.300  0.857
Er  0.250  0.500  0.500
Pb  0.335  0.830  0.500
Er  0.750  0.500  0.500
Tm  0.078  0.143  0.700
Tm  0.722  0.857  0.700
Pb  0.665  0.170  0.500
Tm  0.922  0.857  0.300
Tm  0.578  0.700  0.143

VASP calculation (GGA-PBE) on an optimized crystal structure of Er3Tm4Pb4.

The value obtained for the size of the total moment is 1.8 μB per formula unit. The energy of formation is -0.2916 eV per atom. Its density of states at the Fermi level is 1.07 states/eV/atom.

abc: 4.085 9.331 9.984
angles: 117.86 101.80 90.00
Element x y z (fractional)
Pb  0.255  0.755  0.509
Pb  0.745  0.245  0.491
Tm  0.331  0.137  0.661
Tm  0.669  0.476  0.339
Er  0.000  0.500  0.000
Er  0.107  0.107  0.213
Tm  0.331  0.524  0.661
Pb  0.500  0.790  0.000
Pb  0.500  0.210  0.000
Tm  0.669  0.863  0.339
Er  0.893  0.893  0.787

VASP calculation (GGA-PBE) on an optimized crystal structure of ErTmPb2.

The value obtained for the size of the total moment is 0.0 μB per formula unit. The energy of formation is -0.4029 eV per atom. Its density of states at the Fermi level is 0.86 states/eV/atom.

abc: 6.289 6.288 12.008
angles: 90.00 105.73 90.00
Element x y z (fractional)
Tm  0.941  0.626  0.626
Er  0.060  0.126  0.873
Pb  0.928  0.127  0.603
Tm  0.441  0.374  0.126
Pb  0.570  0.374  0.396
Pb  0.430  0.626  0.604
Tm  0.559  0.626  0.874
Pb  0.072  0.873  0.397
Er  0.440  0.126  0.627
Tm  0.059  0.374  0.374
Pb  0.428  0.873  0.103
Er  0.560  0.874  0.373
Pb  0.572  0.127  0.897
Pb  0.070  0.626  0.896
Er  0.940  0.874  0.127
Pb  0.930  0.374  0.104

VASP calculation (GGA-PBE) on an optimized crystal structure of Er2TmPb2.

For the energy above the most stable polymorph in this dataset, the calculation gives 0.090 eV per atom. The value obtained for the size of the total moment is 0.0 μB per formula unit. The energy of formation is -0.3202 eV per atom. Its density of states at the Fermi level is 0.55 states/eV/atom.

abc: 4.548 6.587 10.093
angles: 90.00 90.00 90.00
Element x y z (fractional)
Pb  0.500  0.250  0.130
Pb  0.500  0.000  0.500
Tm  0.000  0.000  0.000
Er  0.000  0.750  0.646
Er  0.000  0.250  0.354
Er  0.500  0.250  0.769
Pb  0.500  0.500  0.500
Pb  0.500  0.750  0.870
Tm  0.000  0.500  0.000
Er  0.500  0.750  0.231

VASP calculation (GGA-PBE) on an optimized crystal structure of ErTm3Pb12.

The value obtained for the size of the total moment is 0.0 μB per formula unit. The energy of formation is -0.2281 eV per atom. Its density of states at the Fermi level is 0.55 states/eV/atom.

abc: 4.900 4.900 19.171
angles: 90.00 90.00 90.00
Element x y z (fractional)
Pb  0.500  0.500  0.500
Pb  0.500  0.500  0.000
Pb  0.500  0.500  0.250
Pb  0.500  0.000  0.375
Pb  0.000  0.500  0.375
Pb  0.500  0.000  0.875
Pb  0.500  0.000  0.625
Pb  0.000  0.500  0.125
Tm  0.000  0.000  0.750
Pb  0.000  0.500  0.875
Pb  0.500  0.000  0.125
Tm  0.000  0.000  0.500
Er  0.000  0.000  0.000
Pb  0.500  0.500  0.750
Tm  0.000  0.000  0.250
Pb  0.000  0.500  0.625

VASP calculation (GGA-PBE) on an optimized crystal structure of ErTm12Pb7.

The value obtained for the size of the total moment is 0.0 μB per formula unit. The energy of formation is -0.2155 eV per atom. Its density of states at the Fermi level is 1.00 states/eV/atom.

abc: 9.277 9.277 9.277
angles: 110.22 110.22 110.22
Element x y z (fractional)
Tm  0.720  0.999  0.279
Tm  0.505  0.172  0.506
Tm  0.279  0.720  0.999
Tm  0.721  0.280  0.001
Tm  0.495  0.828  0.494
Tm  0.828  0.494  0.495
Tm  0.280  0.001  0.721
Tm  0.001  0.721  0.280
Tm  0.494  0.495  0.828
Er  0.000  0.000  0.000
Pb  0.434  0.130  0.131
Pb  0.131  0.434  0.130
Tm  0.506  0.505  0.172
Pb  0.130  0.131  0.434
Tm  0.999  0.279  0.720
Tm  0.172  0.506  0.505
Pb  0.500  0.500  0.500
Pb  0.869  0.566  0.870
Pb  0.566  0.870  0.869
Pb  0.870  0.869  0.566

VASP calculation (GGA-PBE) on an optimized crystal structure of Er12Tm7Pb.

The value obtained for the size of the total moment is 0.0 μB per formula unit. The energy of formation is 0.1659 eV per atom. Its density of states at the Fermi level is 1.92 states/eV/atom.

abc: 8.542 8.542 8.542
angles: 88.53 88.53 88.53
Element x y z (fractional)
Er  0.499  0.383  0.856
Er  0.501  0.617  0.144
Er  0.144  0.501  0.617
Tm  0.940  0.853  0.614
Tm  0.386  0.060  0.147
Er  0.257  0.131  0.737
Er  0.617  0.144  0.501
Er  0.383  0.856  0.499
Er  0.743  0.869  0.263
Tm  0.500  0.500  0.500
Tm  0.853  0.614  0.940
Er  0.131  0.737  0.257
Er  0.263  0.743  0.869
Tm  0.060  0.147  0.386
Tm  0.147  0.386  0.060
Tm  0.614  0.940  0.853
Pb  0.000  0.000  0.000
Er  0.737  0.257  0.131
Er  0.869  0.263  0.743
Er  0.856  0.499  0.383